# 1
# SrZrMn2

SrZrMn2 after structural relaxation (PBE, the Alexandria database).

Cell: 9.1484 3.1892 6.7111 Å, 90.00 97.87 90.00°
Last column: nearest neighbours and their distance in Å.
Space group C2/m (No. 12)
Unique sites:
Sr  0.0000  0.0000  0.0000 (multiplicity 2)  2 Sr 3.19, 6 Mn 3.38-3.46
Zr  0.0000  0.5000  0.5000 (multiplicity 2)  6 Mn 2.74-2.80
Mn  0.2393  0.0000  0.6588 (multiplicity 4)  2 Mn 2.69, 3 Zr 2.74-2.80

Computed properties:
- total DFT energy (no corrections) (eV per atom) = -6.60
- ΔE to the lowest computed polymorph (eV/atom) = 0.227
- DOS(E_F) (states/eV/atom) = 1.34
- volume (Å³ per atom) = 24.2
- ρ (Mg/m³) = 4.9

***

# 2
# Sr2ZrMn

Sr2ZrMn after structural relaxation (PBE, the Alexandria database).

Cell: 6.9579 10.2246 3.5280 Å, 90.00 90.00 90.00°
Last column: nearest neighbours and their distance in Å.
Space group Cmmm (No. 65)
Unique sites:
Sr  0.2500  0.2500  0.0000 (multiplicity 4)  4 Sr 3.48-3.53, 4 Zr 3.56, 4 Mn 3.56
Zr  0.0000  0.0000  0.5000 (multiplicity 2)  2 Mn 3.48, 2 Zr 3.53, 8 Sr 3.56
Mn  0.0000  0.5000  0.5000 (multiplicity 2)  2 Zr 3.48, 2 Mn 3.53, 8 Sr 3.56

Computed properties:
- total DFT energy (no corrections) (eV per atom) = -4.52
- ΔE to the lowest computed polymorph (eV/atom) = 0.433
- DOS(E_F) (states/eV/atom) = 1.33
- volume (Å³ per atom) = 31.4
- ρ (Mg/m³) = 4.3